1.
Ca2Ge3Pd4Rh: optimized geometry, PBE.

Cell lengths 4.0597, 4.0597, 11.3516 Å; angles 90.00, 90.00, 90.00 degrees
Closest atoms and distances in Å follow each position.
Fractional coordinates of all 10 atoms:
Ca  0.0000  0.5000  0.2427  4 Pd 3.04, 4 Ge 3.20
Ca  0.5000  0.0000  0.7573  4 Pd 3.04, 4 Ge 3.20
Ge  0.0000  0.0000  0.0000  4 Pd 2.67, 4 Rh 2.87
Ge  0.0000  0.5000  0.6333  5 Pd 2.42-2.53
Ge  0.5000  0.0000  0.3667  5 Pd 2.42-2.53
Pd  0.0000  0.0000  0.5000  4 Ge 2.53
Pd  0.0000  0.5000  0.8468  3 Ge 2.42-2.67, 2 Rh 2.67
Pd  0.5000  0.0000  0.1532  3 Ge 2.42-2.67, 2 Rh 2.67
Pd  0.5000  0.5000  0.5000  4 Ge 2.53
Rh  0.5000  0.5000  0.0000  4 Pd 2.67, 4 Ge 2.87

Summary:
- formation energy from the elements (eV per atom) = -0.5973
- electronic total energy (Ry per atom) = -0.3818
- N(E_F) (states/eV per cell) = 6.88

2.
Ca3GeSb2Pd9: optimized geometry, PBE.

Cell lengths 6.8713, 6.8713, 8.6030 Å; angles 90.00, 90.00, 120.00 degrees
Closest atoms and distances in Å follow each position.
Fractional coordinates of all 15 atoms:
Ca  0.0000  0.0000  0.0000  6 Pd 2.91
Ca  0.3333  0.6667  0.7166  9 Pd 3.14-3.46
Ca  0.6667  0.3333  0.2834  9 Pd 3.14-3.46
Ge  0.0000  0.0000  0.5000  6 Pd 2.44
Sb  0.3333  0.6667  0.2011  6 Pd 2.49-2.63
Sb  0.6667  0.3333  0.7989  6 Pd 2.49-2.63
Pd  0.0000  0.5000  0.0000  2 Sb 2.63
Pd  0.1326  0.2651  0.2844  1 Ge 2.44, 1 Sb 2.49
Pd  0.1326  0.8674  0.2844  1 Ge 2.44, 1 Sb 2.49
Pd  0.2651  0.1326  0.7156  1 Ge 2.44, 1 Sb 2.49
Pd  0.5000  0.0000  0.0000  2 Sb 2.63
Pd  0.5000  0.5000  0.0000  2 Sb 2.63
Pd  0.7349  0.8674  0.2844  1 Ge 2.44, 1 Sb 2.49
Pd  0.8674  0.1326  0.7156  1 Ge 2.44, 1 Sb 2.49
Pd  0.8674  0.7349  0.7156  1 Ge 2.44, 1 Sb 2.49

Summary:
- electronic total energy (Ry per atom) = -0.3553
- formation energy from raw total energies (eV per atom) = -0.46
- N(E_F) (states/eV per cell) = 6.32

Question: Which value of N(E_F) does entry 2 give?
Answer: 6.32 states/eV per cell

Question: Which of these has the highest electronic total energy?
Answer: Ca3GeSb2Pd9